Entry 1:
# RbNd2Dy3Te6

A relaxed structure of RbNd2Dy3Te6 (PBE-GGA, Alexandria).

Computed properties:
Energy relative to the elements, uncorrected: -1.32 eV/atom
Energy: -0.1809 hartree per atom
Space group: C2/m

Unit cell a=4.4040 b=9.2472 c=10.1514 alpha=104.77 beta=102.53 gamma=90.00
With the nearest neighbours (Å) after each atom.
Sites, in units of the cell vectors:
Te 0.0008 0.2736 0.0015  3 Dy 3.04-3.13, 1 Nd 3.31, 2 Rb 3.35
Te 0.3383 0.4078 0.6766  3 Dy 3.07-3.09, 3 Nd 3.17-3.18
Te 0.6617 0.5922 0.3234  3 Dy 3.07-3.09, 3 Nd 3.17-3.18
Te 0.3236 0.9189 0.6472  3 Dy 3.07-3.20, 2 Nd 3.34, 1 Rb 3.38
Te 0.9992 0.7264 0.9985  3 Dy 3.04-3.13, 1 Nd 3.31, 2 Rb 3.35
Te 0.6764 0.0811 0.3528  3 Dy 3.07-3.20, 2 Nd 3.34, 1 Rb 3.38
Dy 0.5000 0.5000 0.0000  6 Te 3.04-3.09
Dy 0.1630 0.8236 0.3260  6 Te 3.07-3.20
Dy 0.8370 0.1764 0.6740  6 Te 3.07-3.20
Rb 0.5000 0.0000 0.0000  6 Te 3.35-3.38
Nd 0.1734 0.3513 0.3468  6 Te 3.17-3.34
Nd 0.8266 0.6487 0.6532  6 Te 3.17-3.34

***

Entry 2:
# Rb4Nd3DyTe8

A relaxed structure of Rb4Nd3DyTe8 (PBE-GGA, Alexandria).

Computed properties:
Energy relative to the elements, uncorrected: -1.40 eV/atom
Energy: -0.1615 hartree per atom
Space group: R-3m

Unit cell a=9.2403 b=10.0964 c=9.2407 alpha=117.25 beta=120.00 gamma=90.00
With the nearest neighbours (Å) after each atom.
Sites, in units of the cell vectors:
Rb 0.5000 0.0000 0.0000  6 Te 3.73
Rb 0.5000 0.0000 0.5000  6 Te 3.67
Rb 0.0000 0.0000 0.0000  6 Te 3.67
Rb 0.0000 0.0000 0.5000  6 Te 3.67
Te 0.2309 0.7027 0.4618  1 Dy 3.14, 2 Nd 3.21
Te 0.2589 0.2973 0.0281  1 Dy 3.14, 2 Nd 3.21
Te 0.7354 0.7060 0.4708  3 Nd 3.20
Te 0.7411 0.7027 0.9719  1 Dy 3.14, 2 Nd 3.21
Te 0.7691 0.2973 0.0281  1 Dy 3.14, 2 Nd 3.21
Te 0.7691 0.2973 0.5382  1 Dy 3.14, 2 Nd 3.21
Te 0.2309 0.7027 0.9719  1 Dy 3.14, 2 Nd 3.21
Te 0.2646 0.2940 0.5292  3 Nd 3.20
Dy 0.0000 0.5000 0.0000  6 Te 3.14
Nd 0.0000 0.5000 0.5000  6 Te 3.20-3.21
Nd 0.5000 0.5000 0.5000  6 Te 3.20-3.21
Nd 0.5000 0.5000 0.0000  6 Te 3.20-3.21